This record from Alexandria via LeMat-Bulk describes crystalline Ho4ThCd3 at its relaxed geometry. The functional is PBE-GGA.

Cell lengths 3.663, 3.663, 16.249 Å; angles 90.00, 90.00, 90.00 degrees
Space group P4/mmm (No. 123)
Asymmetric unit:
Ho: 0.000 0.000 0.116
Ho: 0.000 0.000 0.356
Th: 0.500 0.500 0.500
Cd: 0.500 0.500 0.000
Cd: 0.500 0.500 0.235

Summary:
E_form in eV per formula unit: -1.90
Theoretical density in g/cm3: 9.36
D(E_F) in states/eV/cell: 7.992
Total magnetization in μB per cell: 0.00